Material: TaSiB2I
Method: DFT, PBE-GGA
State: optimized geometry

abc: 4.018 4.018 5.318
angles: 90.00 90.00 90.00
Atoms (fractional coordinates):
Ta 0.000 0.000 0.000
Si 0.500 0.500 0.500
B 0.000 0.500 0.500
B 0.500 0.000 0.500
I 0.500 0.500 0.000

Computed properties:
offset from the most stable computed form: 0 meV per atom
space group: No. 123
theoretical density: 6.914 g cm⁻³
DOS(E_F): 0.84 states/eV/atom